1.
{"formula": "GeP2SBr", "functional": "PBE", "state": "optimized geometry", "final_energy_ev_per_atom": -3.35, "e_above_lowest_polymorph_ev_per_atom": 0.000, "space_group": "P4/mmm, No. 123", "cell": [[4.887, 0.000, 0.000], [0.000, 4.887, 0.000], [0.000, 0.000, 4.604]], "species": ["P", "P", "Ge", "S", "Br"], "fractional_positions": [[0.500, 0.000, 0.000], [0.000, 0.500, 0.000], [0.000, 0.000, 0.000], [0.000, 0.000, 0.500], [0.500, 0.500, 0.500]]}

---

2.
{"formula": "GePSeBr2", "functional": "PBE", "state": "optimized geometry", "final_energy_ev_per_atom": -2.79, "e_above_lowest_polymorph_ev_per_atom": 0.246, "space_group": "P4/mmm, No. 123", "cell": [[5.160, 0.000, 0.000], [0.000, 5.160, 0.000], [0.000, 0.000, 5.367]], "species": ["Br", "Br", "Ge", "P", "Se"], "fractional_positions": [[0.000, 0.500, 0.000], [0.500, 0.000, 0.000], [0.000, 0.000, 0.000], [0.500, 0.500, 0.500], [0.000, 0.000, 0.500]]}

---

3.
{"formula": "GePSeBr2", "functional": "PBE", "state": "optimized geometry", "final_energy_ev_per_atom": -3.04, "e_above_lowest_polymorph_ev_per_atom": 0.000, "space_group": "P4/mmm, No. 123", "cell": [[4.969, 0.000, 0.000], [0.000, 4.969, 0.000], [0.000, 0.000, 5.150]], "species": ["Se", "Br", "Br", "Ge", "P"], "fractional_positions": [[0.000, 0.000, 0.500], [0.500, 0.000, 0.000], [0.000, 0.500, 0.000], [0.500, 0.500, 0.500], [0.000, 0.000, 0.000]]}

---

4.
{"formula": "Sm6GeP2Br3", "functional": "PBE", "state": "optimized geometry", "final_energy_ev_per_atom": -5.43, "space_group": "C2/m, No. 12", "cell": [[4.158, 0.000, 0.000], [0.000, 8.674, 0.076], [-2.079, -2.741, 8.990]], "species": ["Sm", "Sm", "Sm", "Sm", "Sm", "Sm", "P", "P", "Ge", "Br", "Br", "Br"], "fractional_positions": [[0.659, 0.114, 0.317], [0.987, 0.768, 0.974], [0.013, 0.232, 0.026], [0.322, 0.445, 0.644], [0.678, 0.555, 0.356], [0.341, 0.886, 0.683], [0.832, 0.665, 0.664], [0.168, 0.335, 0.336], [0.500, 0.000, 0.000], [0.500, 0.500, 0.000], [0.166, 0.832, 0.332], [0.834, 0.168, 0.668]]}

---

5.
{"formula": "Sm6Ge2P3Br", "functional": "PBE", "state": "optimized geometry", "final_energy_ev_per_atom": -5.93, "space_group": "C2/m, No. 12", "cell": [[4.100, 0.000, 0.000], [0.000, 8.492, 0.295], [-2.050, -2.457, 8.781]], "species": ["P", "P", "P", "Sm", "Sm", "Sm", "Sm", "Sm", "Sm", "Br", "Ge", "Ge"], "fractional_positions": [[0.837, 0.165, 0.673], [0.500, 0.500, 0.000], [0.163, 0.835, 0.327], [0.999, 0.273, 0.999], [0.666, 0.590, 0.331], [0.334, 0.410, 0.669], [0.673, 0.081, 0.346], [0.001, 0.727, 0.001], [0.327, 0.919, 0.654], [0.500, 0.000, 0.000], [0.835, 0.670, 0.670], [0.165, 0.330, 0.330]]}

---

6.
{"formula": "Sm4GePBr2", "functional": "PBE", "state": "optimized geometry", "final_energy_ev_per_atom": -5.34, "space_group": "P2/m, No. 10", "cell": [[-3.507, -2.063, 0.955], [3.864, -4.817, 3.783], [-2.055, 5.658, 4.679]], "species": ["Ge", "Sm", "Sm", "Sm", "Sm", "Br", "Br", "P"], "fractional_positions": [[0.000, 0.000, 0.000], [0.500, 0.757, 0.793], [0.000, 0.727, 0.203], [0.000, 0.273, 0.797], [0.500, 0.243, 0.207], [0.500, 0.000, 0.500], [0.000, 0.500, 0.500], [0.500, 0.500, 0.000]]}

---

7.
{"formula": "Sm6Ge3P2Br", "functional": "PBE", "state": "optimized geometry", "final_energy_ev_per_atom": -5.70, "space_group": "C2/m, No. 12", "cell": [[4.157, 0.000, 0.000], [0.000, 8.487, 0.235], [-2.079, -2.517, 8.846]], "species": ["Ge", "Ge", "Ge", "P", "P", "Sm", "Sm", "Sm", "Sm", "Sm", "Sm", "Br"], "fractional_positions": [[0.163, 0.833, 0.326], [0.837, 0.167, 0.674], [0.500, 0.500, 0.000], [0.166, 0.332, 0.333], [0.834, 0.668, 0.667], [0.331, 0.424, 0.662], [0.003, 0.269, 0.007], [0.997, 0.731, 0.993], [0.328, 0.906, 0.657], [0.669, 0.576, 0.338], [0.672, 0.094, 0.343], [0.500, 0.000, 0.000]]}

---

8.
{"formula": "Sr8Ge3PBr4", "functional": "PBE", "state": "optimized geometry", "final_energy_ev_per_atom": -3.64, "space_group": "C2/m, No. 12", "cell": [[-1.660, -3.637, -8.023], [2.414, -8.447, 3.330], [-6.407, 4.591, 4.252]], "species": ["Sr", "Sr", "Sr", "Sr", "Sr", "Sr", "Sr", "Sr", "Ge", "Ge", "Ge", "P", "Br", "Br", "Br", "Br"], "fractional_positions": [[0.256, 0.269, 0.512], [0.234, 0.716, 0.983], [0.744, 0.731, 0.488], [0.251, 0.284, 0.017], [0.234, 0.716, 0.468], [0.766, 0.284, 0.532], [0.766, 0.284, 0.017], [0.749, 0.716, 0.983], [0.500, 0.500, 0.500], [0.000, 0.500, 0.500], [0.500, 0.500, 0.000], [0.000, 0.500, 0.000], [0.000, 0.000, 0.000], [0.500, 0.000, 0.500], [0.500, 0.000, 0.000], [0.000, 0.000, 0.500]]}

---

9.
{"formula": "Sr6GeP2Br3", "functional": "PBE", "state": "optimized geometry", "final_energy_ev_per_atom": -3.92, "space_group": "C2/m, No. 12", "cell": [[-7.075, 2.852, 1.777], [2.729, -6.464, 3.480], [4.559, 5.474, 3.706]], "species": ["P", "P", "Sr", "Sr", "Sr", "Sr", "Sr", "Sr", "Br", "Br", "Br", "Ge"], "fractional_positions": [[0.664, 0.336, 0.000], [0.336, 0.664, 0.000], [0.934, 0.589, 0.790], [0.271, 0.271, 0.785], [0.589, 0.934, 0.790], [0.066, 0.411, 0.210], [0.411, 0.066, 0.210], [0.729, 0.729, 0.215], [0.171, 0.829, 0.500], [0.500, 0.500, 0.500], [0.829, 0.171, 0.500], [0.000, 0.000, 0.000]]}

---

10.
{"formula": "Tl2GePBr", "functional": "PBE", "state": "optimized geometry", "final_energy_ev_per_atom": -3.24, "space_group": "P4/mmm, No. 123", "cell": [[6.009, 0.000, 0.000], [0.000, 4.505, 0.000], [0.000, 0.000, 6.009]], "species": ["Tl", "Tl", "Ge", "P", "Br"], "fractional_positions": [[0.500, 0.000, 0.000], [0.000, 0.000, 0.500], [0.000, 0.000, 0.000], [0.000, 0.500, 0.000], [0.500, 0.500, 0.500]]}

---

11.
{"formula": "PaGe2Br8", "functional": "PBE", "state": "optimized geometry", "final_energy_ev_per_atom": -3.85, "space_group": "C2/m, No. 12", "cell": [[-3.622, -2.098, 6.795], [-1.786, -7.671, -1.390], [6.115, -2.807, 4.324]], "species": ["Br", "Br", "Br", "Br", "Br", "Br", "Br", "Br", "Ge", "Ge", "Pa"], "fractional_positions": [[0.207, 0.256, 0.906], [0.229, 0.365, 0.365], [0.771, 0.635, 0.635], [0.793, 0.094, 0.744], [0.793, 0.744, 0.094], [0.207, 0.906, 0.256], [0.243, 0.779, 0.779], [0.757, 0.221, 0.221], [0.389, 0.162, 0.162], [0.611, 0.838, 0.838], [0.000, 0.000, 0.000]]}

---

12.
{"formula": "PaGeBr2", "functional": "PBE", "state": "optimized geometry", "final_energy_ev_per_atom": -4.41, "space_group": "R-3m, No. 166", "cell": [[3.459, 0.000, 0.000], [1.730, 2.996, 0.000], [1.730, 0.999, 10.467]], "species": ["Br", "Br", "Pa", "Ge"], "fractional_positions": [[0.912, 0.912, 0.263], [0.088, 0.088, 0.737], [0.000, 0.000, 0.000], [0.500, 0.500, 0.500]]}

---

Number 1: formation energy without anion corrections 87.08 kJ per mole of atoms, mass density 3.72 g/cm³. Number 2: formation energy without anion corrections 55.66 kJ per mole of atoms, mass density 3.98 g/cm³. Number 3: formation energy without anion corrections 31.90 kJ per mole of atoms, mass density 4.47 g/cm³. Number 4: formation energy without anion corrections -132.05 kJ per mole of atoms, mass density 6.52 g/cm³. Number 5: formation energy without anion corrections -126.04 kJ per mole of atoms, mass density 6.56 g/cm³. Number 6: formation energy without anion corrections -126.45 kJ per mole of atoms, mass density 6.56 g/cm³. Number 7: formation energy without anion corrections -110.87 kJ per mole of atoms, mass density 6.66 g/cm³. Number 8: formation energy without anion corrections -113.50 kJ per mole of atoms, mass density 3.87 g/cm³. Number 9: formation energy without anion corrections -132.54 kJ per mole of atoms, mass density 3.74 g/cm³. Number 10: formation energy without anion corrections 4.58 kJ per mole of atoms, mass density 6.05 g/cm³. Number 11: formation energy without anion corrections -89.72 kJ per mole of atoms, mass density 3.45 g/cm³. Number 12: formation energy without anion corrections -3.92 kJ per mole of atoms, mass density 7.10 g/cm³.